Entry 1:
First-principles (GGA-PBE) data for ZrUGa4 after structural relaxation, as listed in the Alexandria database.

Unit cell a=5.415 b=5.415 c=5.415 alpha=60.00 beta=60.00 gamma=60.00
Fractional coordinates of all 6 atoms:
1 U 0.250 0.250 0.250
2 Ga 0.625 0.625 0.125
3 Ga 0.625 0.125 0.625
4 Ga 0.625 0.625 0.625
5 Ga 0.125 0.625 0.625
6 Zr 0.000 0.000 0.000

Values from the calculation:
Total magnetic moment ... 0.501 μB per atom
Formation energy ... -20.6 kJ/mol of atoms
Calculated total energy ... -33.23 eV per cell
ρ ... 9.0 g/cm3
Space-group type ... F-43m

=====

Entry 2:
First-principles (GGA-PBE) data for TaFeAu2 after structural relaxation, as listed in the Alexandria database.

Unit cell a=4.869 b=4.869 c=4.869 alpha=130.74 beta=130.67 gamma=72.28
Fractional coordinates of all 4 atoms:
1 Au 0.000 0.000 0.000
2 Au 0.250 0.750 0.500
3 Fe 0.500 0.500 0.000
4 Ta 0.750 0.250 0.500

Values from the calculation:
ΔE to the lowest computed polymorph ... 28.6 kJ/mol of formula units
Total magnetic moment ... 0.321 μB per atom
Formation energy ... 8.3 kJ/mol of atoms
Calculated total energy ... -26.52 eV per cell
ρ ... 16.2 g/cm3
Space-group type ... I-4m2

=====

Entry 3:
First-principles (GGA-PBE) data for Cr3PdPt after structural relaxation, as listed in the Alexandria database.

Unit cell a=4.516 b=4.516 c=4.516 alpha=90.00 beta=90.00 gamma=90.00
Fractional coordinates of all 5 atoms:
1 Cr 0.000 0.500 0.000
2 Cr 0.000 0.000 0.500
3 Cr 0.500 0.000 0.000
4 Pd 0.500 0.500 0.500
5 Pt 0.000 0.000 0.000

Values from the calculation:
ΔE to the lowest computed polymorph ... 0.0 kJ/mol of formula units
Total magnetic moment ... 0.000 μB per atom
Formation energy ... 156.3 kJ/mol of atoms
Calculated total energy ... -32.01 eV per cell
ρ ... 8.2 g/cm3
Space-group type ... Pm-3m

=====

Entry 4:
First-principles (GGA-PBE) data for Si2SnAu2 after structural relaxation, as listed in the Alexandria database.

Unit cell a=4.069 b=4.069 c=6.639 alpha=72.16 beta=72.16 gamma=90.00
Fractional coordinates of all 5 atoms:
1 Si 0.750 0.250 0.500
2 Si 0.250 0.750 0.500
3 Au 0.383 0.383 0.233
4 Au 0.617 0.617 0.767
5 Sn 0.000 0.000 0.000

Values from the calculation:
ΔE to the lowest computed polymorph ... 0.0 kJ/mol of formula units
Energy relative to the elements, uncorrected ... 11.9 kJ per mole of atoms
Total magnetic moment ... 0.000 μB per atom
Calculated total energy ... -20.79 eV per cell
ρ ... 9.5 g/cm3
Space-group type ... I4/mmm

=====

Entry 5:
First-principles (GGA-PBE) data for Tb6TmSc3 after structural relaxation, as listed in the Alexandria database.

Unit cell a=6.332 b=10.469 c=10.469 alpha=120.55 beta=90.00 gamma=90.00
Fractional coordinates of all 20 atoms:
1 Tb 0.056 0.712 0.631
2 Tb 0.556 0.631 0.712
3 Tb 0.356 0.527 0.942
4 Tb 0.856 0.942 0.527
5 Tb 0.326 0.966 0.034
6 Tb 0.674 0.286 0.714
7 Tb 0.174 0.714 0.286
8 Tb 0.826 0.034 0.966
9 Tb 0.356 0.058 0.473
10 Tb 0.856 0.473 0.058
11 Tb 0.056 0.369 0.288
12 Tb 0.556 0.288 0.369
13 Tm 0.137 0.191 0.809
14 Tm 0.637 0.809 0.191
15 Sc 0.458 0.933 0.699
16 Sc 0.958 0.699 0.933
17 Sc 0.109 0.384 0.616
18 Sc 0.609 0.616 0.384
19 Sc 0.958 0.067 0.301
20 Sc 0.458 0.301 0.067

Values from the calculation:
ΔE to the lowest computed polymorph ... 138.0 kJ/mol of formula units
Total magnetic moment ... 0.000 μB per atom
Formation energy ... 16.5 kJ/mol of atoms
Calculated total energy ... -99.07 eV per cell
ρ ... 7.0 g/cm3
Space-group type ... Cmc2_1

=====

Entry 6:
First-principles (GGA-PBE) data for Ca2AlW after structural relaxation, as listed in the Alexandria database.

Unit cell a=10.605 b=10.605 c=10.605 alpha=17.16 beta=17.16 gamma=17.16
Fractional coordinates of all 4 atoms:
1 Ca 0.002 0.002 0.002
2 Ca 0.498 0.498 0.498
3 Al 0.250 0.250 0.250
4 W 0.750 0.750 0.750

Values from the calculation:
Total magnetic moment ... 0.000 μB per atom
Formation energy ... 62.7 kJ/mol of atoms
Calculated total energy ... -18.10 eV per cell
ρ ... 5.3 g/cm3
Space-group type ... R-3m

=====

Entry 7:
First-principles (GGA-PBE) data for NaSbO12 after structural relaxation, as listed in the Alexandria database.

Unit cell a=9.622 b=9.622 c=6.687 alpha=90.00 beta=90.00 gamma=90.00
Fractional coordinates of all 28 atoms:
1 Na 0.000 0.000 0.000
2 Na 0.500 0.500 0.500
3 Sb 0.000 0.000 0.500
4 Sb 0.500 0.500 0.000
5 O 0.139 0.600 0.147
6 O 0.861 0.400 0.147
7 O 0.900 0.639 0.647
8 O 0.361 0.900 0.353
9 O 0.100 0.361 0.647
10 O 0.639 0.100 0.353
11 O 0.600 0.861 0.853
12 O 0.400 0.139 0.853
13 O 0.888 0.323 0.006
14 O 0.112 0.677 0.006
15 O 0.177 0.388 0.506
16 O 0.612 0.177 0.494
17 O 0.823 0.612 0.506
18 O 0.388 0.823 0.494
19 O 0.323 0.112 0.994
20 O 0.677 0.888 0.994
21 O 0.043 0.131 0.705
22 O 0.957 0.869 0.705
23 O 0.369 0.543 0.205
24 O 0.457 0.369 0.795
25 O 0.631 0.457 0.205
26 O 0.543 0.631 0.795
27 O 0.131 0.957 0.295
28 O 0.869 0.043 0.295

Values from the calculation:
ΔE to the lowest computed polymorph ... 0.0 kJ/mol of formula units
Energy relative to the elements, uncorrected ... -22.5 kJ per mole of atoms
Total magnetic moment ... 0.428 μB per atom
Calculated total energy ... -136.42 eV per cell
ρ ... 1.8 g/cm3
Space-group type ... P4_2/n

=====

Entry 8:
First-principles (GGA-PBE) data for BaTlZnBr5 after structural relaxation, as listed in the Alexandria database.

Unit cell a=8.175 b=8.175 c=11.238 alpha=103.88 beta=103.88 gamma=105.11
Fractional coordinates of all 16 atoms:
1 Ba 0.000 0.000 0.500
2 Ba 0.000 0.000 0.000
3 Tl 0.354 0.646 0.250
4 Tl 0.646 0.354 0.750
5 Zn 0.682 0.318 0.250
6 Zn 0.318 0.682 0.750
7 Br 0.110 0.890 0.250
8 Br 0.890 0.110 0.750
9 Br 0.928 0.350 0.160
10 Br 0.072 0.650 0.840
11 Br 0.650 0.072 0.340
12 Br 0.350 0.928 0.660
13 Br 0.724 0.586 0.427
14 Br 0.276 0.414 0.573
15 Br 0.414 0.276 0.073
16 Br 0.586 0.724 0.927

Values from the calculation:
Energy relative to the elements, uncorrected ... -129.4 kJ per mole of atoms
Total magnetic moment ... 0.000 μB per atom
Calculated total energy ... -49.32 eV per cell
ρ ... 4.0 g/cm3
Space-group type ... C2/c

=====

Entry 9:
First-principles (GGA-PBE) data for CaMgCd after structural relaxation, as listed in the Alexandria database.

Unit cell a=5.247 b=5.247 c=5.247 alpha=60.00 beta=60.00 gamma=60.00
Fractional coordinates of all 3 atoms:
1 Ca 0.750 0.750 0.750
2 Cd 0.000 0.000 0.000
3 Mg 0.500 0.500 0.500

Values from the calculation:
Total magnetic moment ... 0.000 μB per atom
Formation energy ... 22.7 kJ/mol of atoms
Calculated total energy ... -3.80 eV per cell
ρ ... 2.9 g/cm3
Space-group type ... F-43m

=====

Entry 10:
First-principles (GGA-PBE) data for Nd3Tl4CrSe8 after structural relaxation, as listed in the Alexandria database.

Unit cell a=8.406 b=9.139 c=8.405 alpha=117.40 beta=120.00 gamma=90.00
Fractional coordinates of all 16 atoms:
1 Nd 0.500 0.500 0.000
2 Nd 0.500 0.500 0.500
3 Nd 0.000 0.500 0.500
4 Tl 0.500 0.000 0.000
5 Tl 0.500 0.000 0.500
6 Tl 0.000 0.000 0.000
7 Tl 0.000 0.000 0.500
8 Cr 0.000 0.500 0.000
9 Se 0.218 0.699 0.981
10 Se 0.219 0.699 0.437
11 Se 0.261 0.284 0.523
12 Se 0.763 0.699 0.981
13 Se 0.237 0.301 0.019
14 Se 0.739 0.716 0.477
15 Se 0.781 0.301 0.563
16 Se 0.782 0.301 0.019

Values from the calculation:
Energy relative to the elements, uncorrected ... -105.4 kJ per mole of atoms
Total magnetic moment ... 0.189 μB per atom
Calculated total energy ... -78.74 eV per cell
ρ ... 6.8 g/cm3
Space-group type ... R-3m

=====

Entry 11:
First-principles (GGA-PBE) data for Al2InCl after structural relaxation, as listed in the Alexandria database.

Unit cell a=5.623 b=4.101 c=4.101 alpha=90.00 beta=90.00 gamma=90.00
Fractional coordinates of all 4 atoms:
1 Cl 0.500 0.500 0.000
2 Al 0.000 0.000 0.000
3 Al 0.000 0.500 0.500
4 In 0.500 0.000 0.500

Values from the calculation:
ΔE to the lowest computed polymorph ... 111.1 kJ/mol of formula units
Energy relative to the elements, uncorrected ... 7.3 kJ per mole of atoms
Total magnetic moment ... 0.000 μB per atom
Calculated total energy ... -11.77 eV per cell
ρ ... 3.6 g/cm3
Space-group type ... P4/mmm

=====

Entry 12:
First-principles (GGA-PBE) data for Cs5SnS4 after structural relaxation, as listed in the Alexandria database.

Unit cell a=8.266 b=10.781 c=10.197 alpha=90.00 beta=90.00 gamma=90.00
Fractional coordinates of all 20 atoms:
1 Cs 0.736 0.193 0.240
2 Cs 0.736 0.193 0.760
3 Cs 0.150 0.000 0.500
4 Cs 0.736 0.807 0.240
5 Cs 0.736 0.807 0.760
6 Cs 0.264 0.693 0.260
7 Cs 0.264 0.693 0.740
8 Cs 0.850 0.500 0.000
9 Cs 0.264 0.307 0.740
10 Cs 0.264 0.307 0.260
11 Sn 0.210 0.000 0.000
12 Sn 0.790 0.500 0.500
13 S 0.036 0.203 0.000
14 S 0.382 0.000 0.214
15 S 0.382 0.000 0.786
16 S 0.036 0.797 0.000
17 S 0.964 0.703 0.500
18 S 0.618 0.500 0.286
19 S 0.618 0.500 0.714
20 S 0.964 0.297 0.500

Values from the calculation:
Energy relative to the elements, uncorrected ... -89.9 kJ per mole of atoms
Total magnetic moment ... 0.000 μB per atom
Calculated total energy ... -68.19 eV per cell
ρ ... 3.3 g/cm3
Space-group type ... Pmmn

=====

Entry 13:
First-principles (GGA-PBE) data for Cs2LiWSe4 after structural relaxation, as listed in the Alexandria database.

Unit cell a=6.148 b=7.927 c=13.350 alpha=84.88 beta=76.69 gamma=67.18
Fractional coordinates of all 16 atoms:
1 Cs 0.178 0.000 0.644
2 Cs 0.822 0.000 0.356
3 Cs 0.572 0.500 0.856
4 Cs 0.928 0.500 0.144
5 Li 0.750 0.500 0.500
6 Li 0.000 0.000 0.000
7 W 0.250 0.500 0.500
8 W 0.500 0.000 0.000
9 Se 0.314 0.811 0.104
10 Se 0.230 0.189 0.896
11 Se 0.874 0.811 0.896
12 Se 0.581 0.189 0.104
13 Se 0.436 0.689 0.396
14 Se 0.520 0.311 0.604
15 Se 0.876 0.689 0.604
16 Se 0.169 0.311 0.396

Values from the calculation:
Energy relative to the elements, uncorrected ... -84.9 kJ per mole of atoms
Total magnetic moment ... 0.127 μB per atom
Calculated total energy ... -75.11 eV per cell
ρ ... 4.4 g/cm3
Space-group type ... Fddd

=====

Entry 14:
First-principles (GGA-PBE) data for Ho2ScTe2O2 after structural relaxation, as listed in the Alexandria database.

Unit cell a=4.122 b=4.122 c=8.822 alpha=103.51 beta=103.51 gamma=90.00
Fractional coordinates of all 7 atoms:
1 Ho 0.399 0.399 0.798
2 Ho 0.601 0.601 0.202
3 Sc 0.000 0.000 0.000
4 Te 0.178 0.178 0.355
5 Te 0.822 0.822 0.645
6 O 0.000 0.500 0.000
7 O 0.500 0.000 0.000

Values from the calculation:
Energy relative to the elements, uncorrected ... -210.1 kJ per mole of atoms
Total magnetic moment ... 0.000 μB per atom
Calculated total energy ... -46.93 eV per cell
ρ ... 7.8 g/cm3
Space-group type ... I4/mmm

=====

Entry 15:
First-principles (GGA-PBE) data for Ta2V2S7 after structural relaxation, as listed in the Alexandria database.

Unit cell a=6.334 b=6.341 c=6.341 alpha=111.89 beta=91.06 gamma=91.06
Fractional coordinates of all 11 atoms:
1 Ta 0.500 0.358 0.642
2 Ta 0.500 0.642 0.358
3 V 0.860 0.267 0.267
4 V 0.140 0.733 0.733
5 S 0.302 0.969 0.593
6 S 0.698 0.407 0.031
7 S 0.698 0.031 0.407
8 S 0.302 0.593 0.969
9 S 0.000 0.000 0.000
10 S 0.779 0.606 0.606
11 S 0.221 0.394 0.394

Values from the calculation:
Energy relative to the elements, uncorrected ... -71.6 kJ per mole of atoms
Total magnetic moment ... 0.000 μB per atom
Calculated total energy ... -79.00 eV per cell
ρ ... 4.8 g/cm3
Space-group type ... C2/m

=====

Entry 16:
First-principles (GGA-PBE) data for Th4In3Ga after structural relaxation, as listed in the Alexandria database.

Unit cell a=3.316 b=5.845 c=11.655 alpha=90.00 beta=90.00 gamma=90.00
Fractional coordinates of all 8 atoms:
1 Ga 0.500 0.500 0.000
2 Th 0.000 0.000 0.500
3 Th 0.000 0.500 0.765
4 Th 0.000 0.000 0.000
5 Th 0.000 0.500 0.235
6 In 0.500 0.000 0.251
7 In 0.500 0.500 0.500
8 In 0.500 0.000 0.749

Values from the calculation:
Total magnetic moment ... 0.000 μB per atom
Formation energy ... -25.2 kJ/mol of atoms
Calculated total energy ... -43.01 eV per cell
ρ ... 9.9 g/cm3
Space-group type ... Pmmm

=====

Entry 17:
First-principles (GGA-PBE) data for Mg3PdBr after structural relaxation, as listed in the Alexandria database.

Unit cell a=4.997 b=4.997 c=4.997 alpha=90.00 beta=90.00 gamma=90.00
Fractional coordinates of all 5 atoms:
1 Mg 0.000 0.500 0.000
2 Mg 0.000 0.000 0.500
3 Mg 0.500 0.000 0.000
4 Br 0.000 0.000 0.000
5 Pd 0.500 0.500 0.500

Values from the calculation:
ΔE to the lowest computed polymorph ... 354.1 kJ/mol of formula units
Energy relative to the elements, uncorrected ... 37.6 kJ per mole of atoms
Total magnetic moment ... 0.000 μB per atom
Calculated total energy ... -9.70 eV per cell
ρ ... 3.4 g/cm3
Space-group type ... Pm-3m

=====

Entry 18:
First-principles (GGA-PBE) data for ZrTc2Sb after structural relaxation, as listed in the Alexandria database.

Unit cell a=8.480 b=8.480 c=8.480 alpha=21.86 beta=21.86 gamma=21.86
Fractional coordinates of all 4 atoms:
1 Sb 0.750 0.750 0.750
2 Tc 0.001 0.001 0.001
3 Tc 0.499 0.499 0.499
4 Zr 0.250 0.250 0.250

Values from the calculation:
Energy relative to the elements, uncorrected ... 18.5 kJ per mole of atoms
Total magnetic moment ... 0.000 μB per atom
Calculated total energy ... -32.64 eV per cell
ρ ... 9.2 g/cm3
Space-group type ... R-3m

=====

Entry 19:
First-principles (GGA-PBE) data for AgIrBr2 after structural relaxation, as listed in the Alexandria database.

Unit cell a=8.041 b=8.041 c=8.041 alpha=26.79 beta=26.79 gamma=26.79
Fractional coordinates of all 4 atoms:
1 Ir 0.500 0.500 0.500
2 Br 0.021 0.021 0.021
3 Br 0.218 0.218 0.218
4 Ag 0.760 0.760 0.760

Values from the calculation:
ΔE to the lowest computed polymorph ... 18.4 kJ/mol of formula units
Energy relative to the elements, uncorrected ... 21.6 kJ per mole of atoms
Total magnetic moment ... 0.000 μB per atom
Calculated total energy ... -14.16 eV per cell
ρ ... 8.2 g/cm3
Space-group type ... R3m

=====

Entry 20:
First-principles (GGA-PBE) data for CsRb2HgH after structural relaxation, as listed in the Alexandria database.

Unit cell a=5.834 b=5.834 c=7.461 alpha=90.00 beta=90.00 gamma=90.00
Fractional coordinates of all 5 atoms:
1 Cs 0.500 0.500 0.500
2 H 0.000 0.000 0.000
3 Hg 0.000 0.000 0.500
4 Rb 0.000 0.500 0.000
5 Rb 0.500 0.000 0.000

Values from the calculation:
ΔE to the lowest computed polymorph ... 41.6 kJ/mol of formula units
Total magnetic moment ... 0.000 μB per atom
Calculated total energy ... -6.47 eV per cell
ρ ... 3.3 g/cm3
Space-group type ... P4/mmm